No. 1
CeFe12Si6 | GGA-PBE | optimized geometry

Computed properties:
Formation energy from raw total energies ... -4.718 eV/f.u.
Symmetry ... No. 166

Unit cell a=6.584 b=6.584 c=6.584 alpha=105.22 beta=105.22 gamma=105.22
Fractional positions:
1 Ce 0.000 0.000 0.000
2 Fe 0.126 0.500 0.874
3 Fe 0.126 0.874 0.500
4 Fe 0.163 0.433 0.433
5 Fe 0.433 0.163 0.433
6 Fe 0.433 0.433 0.163
7 Fe 0.500 0.126 0.874
8 Fe 0.500 0.874 0.126
9 Fe 0.567 0.567 0.837
10 Fe 0.567 0.837 0.567
11 Fe 0.837 0.567 0.567
12 Fe 0.874 0.126 0.500
13 Fe 0.874 0.500 0.126
14 Si 0.245 0.245 0.703
15 Si 0.245 0.703 0.245
16 Si 0.297 0.755 0.755
17 Si 0.703 0.245 0.245
18 Si 0.755 0.297 0.755
19 Si 0.755 0.755 0.297

***

No. 2
NiBiP2Cl | GGA-PBE | optimized geometry

Computed properties:
Formation energy from raw total energies ... 6.571 eV/f.u.
Symmetry ... No. 123
ΔE to the lowest computed polymorph ... 1036 meV/atom

Unit cell a=5.315 b=5.315 c=5.273 alpha=90.00 beta=90.00 gamma=90.00
Fractional positions:
1 Ni 0.000 0.000 0.000
2 Bi 0.500 0.500 0.500
3 P 0.000 0.500 0.500
4 P 0.500 0.000 0.500
5 Cl 0.500 0.500 0.000

***

No. 3
CdAg2B | GGA-PBE | optimized geometry

Computed properties:
Symmetry ... No. 122
ΔE to the lowest computed polymorph ... 0 meV/atom
Calculated formation energy ... 0.62 eV per atom

Unit cell a=7.718 b=7.718 c=4.781 alpha=90.00 beta=90.00 gamma=90.00
Fractional positions:
1 Cd 0.000 0.000 0.000
2 Cd 0.000 0.500 0.250
3 Cd 0.500 0.000 0.750
4 Cd 0.500 0.500 0.500
5 Ag 0.136 0.250 0.625
6 Ag 0.250 0.636 0.875
7 Ag 0.250 0.864 0.375
8 Ag 0.364 0.250 0.125
9 Ag 0.636 0.750 0.125
10 Ag 0.750 0.136 0.375
11 Ag 0.750 0.364 0.875
12 Ag 0.864 0.750 0.625
13 B 0.000 0.000 0.500
14 B 0.000 0.500 0.750
15 B 0.500 0.000 0.250
16 B 0.500 0.500 0.000

***

No. 4
Mg2Sn2Hg | GGA-PBE | optimized geometry

Computed properties:
Symmetry ... No. 127
ΔE to the lowest computed polymorph ... 64 meV/atom
Calculated formation energy ... -0.06 eV per atom

Unit cell a=9.065 b=9.065 c=3.111 alpha=90.00 beta=90.00 gamma=90.00
Fractional positions:
1 Mg 0.139 0.361 0.000
2 Mg 0.361 0.861 0.000
3 Mg 0.639 0.139 0.000
4 Mg 0.861 0.639 0.000
5 Sn 0.158 0.658 0.500
6 Sn 0.342 0.158 0.500
7 Sn 0.658 0.842 0.500
8 Sn 0.842 0.342 0.500
9 Hg 0.000 0.000 0.500
10 Hg 0.500 0.500 0.500

***

No. 5
Zr2ZnP | GGA-PBE | optimized geometry

Computed properties:
Symmetry ... No. 44
Calculated formation energy ... -0.48 eV per atom

Unit cell a=3.424 b=4.385 c=9.753 alpha=90.00 beta=90.00 gamma=90.00
Fractional positions:
1 Zr 0.000 0.000 0.000
2 Zr 0.000 0.500 0.226
3 Zr 0.500 0.000 0.726
4 Zr 0.500 0.500 0.500
5 Zn 0.000 0.500 0.785
6 Zn 0.500 0.000 0.285
7 P 0.000 0.000 0.504
8 P 0.500 0.500 0.004

***

No. 6
Th3C2 | GGA-PBE | optimized geometry

Computed properties:
Symmetry ... No. 12
ΔE to the lowest computed polymorph ... 295 meV/atom
Calculated formation energy ... 0.02 eV per atom

Unit cell a=7.081 b=7.081 c=9.923 alpha=107.14 beta=107.14 gamma=30.19
Fractional positions:
1 Th 0.029 0.029 0.317
2 Th 0.220 0.220 0.644
3 Th 0.363 0.363 0.997
4 Th 0.637 0.637 0.003
5 Th 0.780 0.780 0.356
6 Th 0.971 0.971 0.683
7 C 0.169 0.169 0.868
8 C 0.366 0.366 0.538
9 C 0.634 0.634 0.462
10 C 0.831 0.831 0.132

***

No. 7
Tm2Se2I | GGA-PBE | optimized geometry

Computed properties:
Formation energy from raw total energies ... -7.827 eV/f.u.
Symmetry ... No. 71
ΔE to the lowest computed polymorph ... 64 meV/atom

Unit cell a=4.169 b=5.554 c=12.951 alpha=90.00 beta=90.00 gamma=90.00
Fractional positions:
1 Tm 0.000 0.000 0.188
2 Tm 0.000 0.000 0.812
3 Tm 0.500 0.500 0.312
4 Tm 0.500 0.500 0.688
5 Se 0.000 0.500 0.170
6 Se 0.000 0.500 0.830
7 Se 0.500 0.000 0.330
8 Se 0.500 0.000 0.670
9 I 0.000 0.500 0.500
10 I 0.500 0.000 0.000

***

No. 8
UBeP | GGA-PBE | optimized geometry

Computed properties:
Symmetry ... No. 194
ΔE to the lowest computed polymorph ... 0 meV/atom
Calculated formation energy ... -0.62 eV per atom

Unit cell a=3.631 b=3.631 c=8.155 alpha=90.00 beta=90.00 gamma=120.00
Fractional positions:
1 U 0.000 0.000 0.000
2 U 0.000 0.000 0.500
3 Be 0.333 0.667 0.250
4 Be 0.667 0.333 0.750
5 P 0.333 0.667 0.750
6 P 0.667 0.333 0.250

***

No. 9
Ca2NdY | GGA-PBE | optimized geometry

Computed properties:
Symmetry ... No. 160
ΔE to the lowest computed polymorph ... 8 meV/atom
Calculated formation energy ... 0.11 eV per atom

Unit cell a=3.703 b=3.703 c=37.198 alpha=90.00 beta=90.00 gamma=120.00
Fractional positions:
1 Ca 0.000 0.000 0.000
2 Ca 0.000 0.000 0.168
3 Ca 0.333 0.667 0.667
4 Ca 0.333 0.667 0.834
5 Ca 0.667 0.333 0.333
6 Ca 0.667 0.333 0.501
7 Nd 0.000 0.000 0.750
8 Nd 0.333 0.667 0.417
9 Nd 0.667 0.333 0.084
10 Y 0.000 0.000 0.584
11 Y 0.333 0.667 0.251
12 Y 0.667 0.333 0.917

***

No. 10
La5Pm5Nd | GGA-PBE | optimized geometry

Computed properties:
Symmetry ... No. 2
ΔE to the lowest computed polymorph ... 0 meV/atom
Calculated formation energy ... 0.13 eV per atom

Unit cell a=7.106 b=7.131 c=8.794 alpha=75.04 beta=76.59 gamma=70.42
Fractional positions:
1 La 0.000 0.000 0.000
2 La 0.145 0.647 0.358
3 La 0.367 0.252 0.738
4 La 0.633 0.748 0.262
5 La 0.855 0.353 0.642
6 Pm 0.216 0.150 0.288
7 Pm 0.319 0.797 0.643
8 Pm 0.500 0.500 0.000
9 Pm 0.681 0.203 0.357
10 Pm 0.784 0.850 0.712
11 Nd 0.000 0.500 0.000

***

No. 11
PmZrNi | GGA-PBE | optimized geometry

Computed properties:
Symmetry ... No. 107
Calculated formation energy ... -0.13 eV per atom

Unit cell a=3.378 b=3.378 c=11.737 alpha=90.00 beta=90.00 gamma=90.00
Fractional positions:
1 Pm 0.000 0.000 0.000
2 Pm 0.500 0.500 0.500
3 Zr 0.000 0.000 0.282
4 Zr 0.500 0.500 0.782
5 Ni 0.000 0.000 0.686
6 Ni 0.500 0.500 0.186

***

No. 12
BaNi2AsN | GGA-PBE | optimized geometry

Computed properties:
Formation energy from raw total energies ... -1.458 eV/f.u.
Symmetry ... No. 63

Unit cell a=6.095 b=6.095 c=6.970 alpha=90.00 beta=90.00 gamma=140.01
Fractional positions:
1 Ba 0.053 0.947 0.750
2 Ba 0.947 0.053 0.250
3 Ni 0.345 0.655 0.562
4 Ni 0.345 0.655 0.938
5 Ni 0.655 0.345 0.062
6 Ni 0.655 0.345 0.438
7 As 0.226 0.774 0.250
8 As 0.774 0.226 0.750
9 N 0.500 0.500 0.000
10 N 0.500 0.500 0.500

***

| no. | E_tot (eV per atom) |
| --- | --- |
| 1 | -7.62 |
| 2 | -3.15 |
| 3 | -2.70 |
| 4 | -2.36 |
| 5 | -6.43 |
| 6 | -8.12 |
| 7 | -5.06 |
| 8 | -7.43 |
| 9 | -3.70 |
| 10 | -4.71 |
| 11 | -6.49 |
| 12 | -5.58 |